Crystalline YNb2MoAs at its relaxed geometry. Source: Alexandria, functional PBE-GGA.

Calculated values
Its total energy is -38.8 eV per cell. Its crystal system is tetragonal. The calculation puts the formation energy from the elements at 3.29 eV/f.u. The calculation puts the mass density at 6.32 g cm⁻³. The space-group type is P4/mmm, No. 123. The total moment comes out at 0.00 Bohr magnetons per cell.

Lattice parameters (Å, degrees): 4.9124 4.8514 4.9124 90.00 90.00 90.00
With the nearest neighbours (Å) after each atom.
Atoms (fractional coordinates):
Y1 0.5000 0.5000 0.5000  8 Nb 3.45, 4 As 3.47
As1 0.0000 0.5000 0.0000  2 Mo 2.43
Mo1 0.0000 0.0000 0.0000  2 As 2.43, 4 Nb 2.46
Nb1 0.0000 0.0000 0.5000  2 Mo 2.46
Nb2 0.5000 0.0000 0.0000  2 Mo 2.46

---

Crystalline Li2FeAu at its relaxed geometry. Source: Alexandria, functional PBE-GGA.

Calculated values
Its total energy is -15.6 eV per cell. Its crystal system is monoclinic. The calculation puts the formation energy from the elements at -0.03 eV/f.u. The calculation puts the mass density at 7.47 g cm⁻³. The space-group type is Cm, No. 8. The total moment comes out at 2.64 Bohr magnetons per cell.

Lattice parameters (Å, degrees): 4.7656 4.7656 4.8658 82.74 82.74 32.74
With the nearest neighbours (Å) after each atom.
Atoms (fractional coordinates):
Au1 0.5014 0.5014 0.4839  3 Fe 2.68-2.69, 2 Au 2.69, 7 Li 2.76-2.83
Fe1 0.2455 0.2455 0.2700  3 Au 2.68-2.69, 2 Fe 2.69, 7 Li 2.73-2.84
Li1 0.9964 0.9964 0.9909  5 Li 2.60-2.84, 4 Au 2.76-2.80, 3 Fe 2.80-2.84
Li2 0.7567 0.7567 0.7552  5 Li 2.60-2.84, 4 Fe 2.73-2.83, 3 Au 2.79-2.83

---

Crystalline Ho3CuTe at its relaxed geometry. Source: Alexandria, functional PBE-GGA.

Calculated values
Its total energy is -47.6 eV per cell. Its crystal system is monoclinic. The calculation puts the mass density at 8.69 g cm⁻³. The raw formation energy comes out at -274 kJ/mol of formula units. The space-group type is C2/m, No. 12. The total moment comes out at 0.00 Bohr magnetons per cell. For the energy above the most stable polymorph in this dataset, the calculation gives 0 meV/atom.

Lattice parameters (Å, degrees): 3.9320 6.1895 11.0753 98.82 100.22 90.00
With the nearest neighbours (Å) after each atom.
Atoms (fractional coordinates):
Ho1 0.9968 0.2433 0.9935  2 Ho 3.04-3.16, 4 Te 3.15-3.17
Ho2 0.0032 0.7567 0.0065  2 Ho 3.04-3.16, 4 Te 3.15-3.17
Ho3 0.3667 0.9265 0.7334  2 Cu 2.89, 1 Te 3.18
Ho4 0.6333 0.0735 0.2666  2 Cu 2.89, 1 Te 3.18
Ho5 0.2000 0.6289 0.4000  3 Cu 2.82-2.95, 2 Te 3.11
Ho6 0.8000 0.3711 0.6000  3 Cu 2.82-2.95, 2 Te 3.11
Cu1 0.7683 0.8900 0.5365  2 Cu 2.59, 4 Ho 2.82-2.89
Cu2 0.2317 0.1100 0.4635  2 Cu 2.59, 4 Ho 2.82-2.89
Te1 0.5884 0.5385 0.1767  8 Ho 3.11-3.30
Te2 0.4116 0.4615 0.8233  8 Ho 3.11-3.30